Entry 1:
An optimized crystal structure of LaDy2Ga6. Source: Alexandria, functional PBE.

abc: 4.237 7.360 7.360
angles: 120.00 90.00 90.00
Positions (direct):
1 Ga 0.500 0.336 0.000
2 Ga 0.500 0.000 0.664
3 Ga 0.500 0.664 0.664
4 Ga 0.500 0.664 0.000
5 Ga 0.500 0.000 0.336
6 Ga 0.500 0.336 0.336
7 La 0.000 0.000 0.000
8 Dy 0.000 0.667 0.333
9 Dy 0.000 0.333 0.667

Computed properties:
space-group type: P6/mmm, No. 191
energy relative to the elements: -0.648 eV/atom
total DFT energy (no corrections): -38.13 eV/f.u.
distance to the lowest polymorph of the same formula: 0.0 meV/atom

---

Entry 2:
An optimized crystal structure of KRb2I. Source: Alexandria, functional PBE.

abc: 5.045 5.045 13.014
angles: 78.82 78.82 60.00
Positions (direct):
1 K 0.500 0.500 0.499
2 I 0.667 0.667 0.000
3 Rb 0.273 0.273 0.182
4 Rb 0.061 0.061 0.818

Computed properties:
space-group type: R3m, No. 160
formation energy (no corrections): -0.70 eV per atom
total DFT energy (no corrections): -7.37 eV/f.u.
distance to the lowest polymorph of the same formula: 0.0 meV/atom

---

Entry 3:
An optimized crystal structure of Ac8PIr3Br4. Source: Alexandria, functional PBE.

abc: 8.844 9.627 8.844
angles: 117.33 120.00 90.00
Positions (direct):
1 Ac 0.763 0.305 0.042
2 Ac 0.237 0.695 0.958
3 Ac 0.721 0.695 0.958
4 Ac 0.279 0.305 0.042
5 Ac 0.237 0.695 0.475
6 Ac 0.731 0.694 0.463
7 Ac 0.763 0.305 0.525
8 Ac 0.269 0.306 0.537
9 Ir 0.500 0.500 0.000
10 Ir 0.500 0.500 0.500
11 Ir 0.000 0.500 0.500
12 Br 0.000 0.000 0.000
13 Br 0.500 0.000 0.500
14 Br 0.000 0.000 0.500
15 Br 0.500 0.000 0.000
16 P 0.000 0.500 0.000

Computed properties:
space-group type: R-3m, No. 166
formation energy (no corrections): -1.22 eV per atom
total DFT energy (no corrections): -91.00 eV/f.u.

---

Entry 4:
An optimized crystal structure of Tl2In4GaHg. Source: Alexandria, functional PBE.

abc: 8.791 8.791 10.502
angles: 126.63 126.63 88.18
Positions (direct):
1 In 0.241 0.257 0.473
2 In 0.243 0.259 0.027
3 In 0.253 0.721 0.487
4 In 0.779 0.247 0.013
5 In 0.221 0.753 0.987
6 In 0.747 0.279 0.513
7 In 0.757 0.741 0.973
8 In 0.759 0.743 0.527
9 Tl 0.500 0.000 0.500
10 Tl 0.500 0.000 0.000
11 Tl 0.500 0.500 0.000
12 Tl 0.000 0.000 0.500
13 Hg 0.000 0.500 0.500
14 Hg 0.000 0.500 0.000
15 Ga 0.000 0.000 0.000
16 Ga 0.500 0.500 0.500

Computed properties:
space-group type: C2/c, No. 15
energy relative to the elements: 0.070 eV/atom
total DFT energy (no corrections): -18.46 eV/f.u.

---

Entry 5:
An optimized crystal structure of Pr2SiF. Source: Alexandria, functional PBE.

abc: 4.407 4.407 8.162
angles: 74.34 74.34 60.00
Positions (direct):
1 F 0.000 0.000 0.000
2 Si 0.500 0.500 0.500
3 Pr 0.899 0.899 0.302
4 Pr 0.101 0.101 0.698

Computed properties:
space-group type: R-3m, No. 166
formation energy (no corrections): -1.54 eV per atom
total DFT energy (no corrections): -23.00 eV/f.u.
distance to the lowest polymorph of the same formula: 0.0 meV/atom

---

Entry 6:
An optimized crystal structure of Lu3Ag5H12. Source: Alexandria, functional PBE.

abc: 10.412 10.412 10.412
angles: 109.47 109.47 109.47
Positions (direct):
1 Ag 0.000 0.000 0.000
2 Ag 0.625 0.750 0.875
3 Ag 0.000 0.000 0.500
4 Ag 0.875 0.625 0.750
5 Ag 0.500 0.000 0.000
6 Ag 0.625 0.875 0.250
7 Ag 0.750 0.625 0.375
8 Ag 0.500 0.500 0.000
9 Ag 0.875 0.250 0.625
10 Ag 0.125 0.375 0.250
11 Ag 0.125 0.750 0.375
12 Ag 0.500 0.500 0.500
13 Ag 0.000 0.500 0.500
14 Ag 0.250 0.875 0.125
15 Ag 0.375 0.250 0.125
16 Ag 0.375 0.125 0.750
17 Ag 0.000 0.500 0.000
18 Ag 0.250 0.375 0.625
19 Ag 0.750 0.125 0.875
20 Ag 0.500 0.000 0.500
21 Lu 0.875 0.750 0.125
22 Lu 0.750 0.875 0.625
23 Lu 0.875 0.125 0.250
24 Lu 0.375 0.625 0.250
25 Lu 0.375 0.750 0.625
26 Lu 0.625 0.250 0.375
27 Lu 0.250 0.625 0.875
28 Lu 0.250 0.125 0.375
29 Lu 0.125 0.250 0.875
30 Lu 0.625 0.375 0.750
31 Lu 0.125 0.875 0.750
32 Lu 0.750 0.375 0.125
33 H 0.590 0.641 0.415
34 H 0.410 0.359 0.585
35 H 0.141 0.726 0.550
36 H 0.824 0.915 0.274
37 H 0.274 0.859 0.950
38 H 0.859 0.585 0.910
39 H 0.450 0.774 0.859
40 H 0.176 0.085 0.726
41 H 0.676 0.450 0.590
42 H 0.085 0.176 0.226
43 H 0.050 0.641 0.726
44 H 0.915 0.824 0.774
45 H 0.274 0.415 0.824
46 H 0.641 0.590 0.915
47 H 0.590 0.950 0.676
48 H 0.859 0.274 0.450
49 H 0.415 0.274 0.324
50 H 0.774 0.324 0.915
51 H 0.676 0.226 0.585
52 H 0.359 0.410 0.085
53 H 0.950 0.359 0.274
54 H 0.090 0.176 0.450
55 H 0.910 0.824 0.550
56 H 0.450 0.676 0.090
57 H 0.915 0.090 0.641
58 H 0.824 0.910 0.050
59 H 0.726 0.141 0.050
60 H 0.226 0.550 0.641
61 H 0.226 0.676 0.085
62 H 0.415 0.141 0.590
63 H 0.550 0.226 0.141
64 H 0.410 0.050 0.324
65 H 0.141 0.415 0.090
66 H 0.585 0.859 0.410
67 H 0.090 0.915 0.141
68 H 0.774 0.450 0.359
69 H 0.641 0.050 0.226
70 H 0.910 0.085 0.859
71 H 0.550 0.324 0.910
72 H 0.359 0.950 0.774
73 H 0.050 0.410 0.824
74 H 0.726 0.585 0.176
75 H 0.585 0.726 0.676
76 H 0.085 0.910 0.359
77 H 0.176 0.090 0.950
78 H 0.324 0.774 0.415
79 H 0.950 0.590 0.176
80 H 0.324 0.550 0.410

Computed properties:
space-group type: Ia-3d, No. 230
total DFT energy (no corrections): -70.33 eV/f.u.

---

Entry 7:
An optimized crystal structure of Au2SeCl. Source: Alexandria, functional PBE.

abc: 4.810 4.810 4.810
angles: 60.00 60.00 60.00
Positions (direct):
1 Au 0.250 0.250 0.250
2 Au 0.000 0.000 0.000
3 Se 0.750 0.750 0.750
4 Cl 0.500 0.500 0.500

Computed properties:
space-group type: F-43m, No. 216
formation energy (no corrections): 0.49 eV per atom
total DFT energy (no corrections): -9.91 eV/f.u.
distance to the lowest polymorph of the same formula: 516.0 meV/atom

---

Entry 8:
An optimized crystal structure of ScSb2Pd8. Source: Alexandria, functional PBE.

abc: 4.085 7.482 7.530
angles: 119.79 105.74 90.00
Positions (direct):
1 Pd 0.852 0.852 0.704
2 Pd 0.148 0.148 0.296
3 Pd 0.000 0.715 0.000
4 Pd 0.665 0.431 0.330
5 Pd 0.335 0.101 0.670
6 Pd 0.665 0.899 0.330
7 Pd 0.335 0.569 0.670
8 Pd 0.000 0.285 0.000
9 Sb 0.824 0.324 0.648
10 Sb 0.176 0.676 0.352
11 Sc 0.500 0.000 0.000

Computed properties:
space-group type: Immm, No. 71
formation energy (no corrections): -0.57 eV per atom
total DFT energy (no corrections): -62.38 eV/f.u.
distance to the lowest polymorph of the same formula: 0.0 meV/atom

---

Entry 9:
An optimized crystal structure of B5C7. Source: Alexandria, functional PBE.

abc: 2.673 3.808 8.531
angles: 89.26 90.00 90.00
Positions (direct):
1 C 0.500 0.547 0.512
2 C 0.000 0.207 0.821
3 C 0.500 0.700 0.994
4 C 0.000 0.001 0.668
5 C 0.500 0.827 0.627
6 C 0.000 0.045 0.334
7 C 0.000 0.291 0.205
8 B 0.500 0.387 0.867
9 B 0.000 0.319 0.503
10 B 0.000 0.885 0.953
11 B 0.500 0.434 0.137
12 B 0.500 0.857 0.379

Computed properties:
space-group type: Pm, No. 6
energy relative to the elements: 0.259 eV/atom
total DFT energy (no corrections): -94.85 eV/f.u.
distance to the lowest polymorph of the same formula: 0.8 meV/atom

---

Entry 10:
An optimized crystal structure of BePNO2. Source: Alexandria, functional PBE.

abc: 3.756 3.756 3.547
angles: 90.00 90.00 90.00
Positions (direct):
1 Be 0.500 0.500 0.500
2 P 0.000 0.000 0.500
3 N 0.000 0.000 0.000
4 O 0.500 0.000 0.000
5 O 0.000 0.500 0.000

Computed properties:
space-group type: P4/mmm, No. 123
formation energy (no corrections): 1.20 eV per atom
total DFT energy (no corrections): -21.37 eV/f.u.

---

Entry 11:
An optimized crystal structure of TbSm2Pt2. Source: Alexandria, functional PBE.

abc: 4.053 7.833 7.833
angles: 90.00 90.00 90.00
Positions (direct):
1 Pt 0.000 0.137 0.363
2 Pt 0.000 0.363 0.863
3 Pt 0.000 0.637 0.137
4 Pt 0.000 0.863 0.637
5 Sm 0.500 0.337 0.163
6 Sm 0.500 0.163 0.663
7 Sm 0.500 0.837 0.337
8 Sm 0.500 0.663 0.837
9 Tb 0.000 0.000 0.000
10 Tb 0.000 0.500 0.500

Computed properties:
space-group type: P4/mbm, No. 127
energy relative to the elements: -0.997 eV/atom
total DFT energy (no corrections): -31.13 eV/f.u.

---

Entry 12:
An optimized crystal structure of TeAsSe2Br. Source: Alexandria, functional PBE.

abc: 5.099 5.099 5.303
angles: 90.00 90.00 90.00
Positions (direct):
1 Br 0.000 0.000 0.000
2 Te 0.500 0.500 0.500
3 Se 0.500 0.000 0.000
4 Se 0.000 0.500 0.000
5 As 0.000 0.000 0.500

Computed properties:
space-group type: P4/mmm, No. 123
formation energy (no corrections): 1.02 eV per atom
total DFT energy (no corrections): -11.34 eV/f.u.
distance to the lowest polymorph of the same formula: 625.9 meV/atom